The following is a DFT calculation (PBE-GGA) of a geometry-optimized TmLuScIn structure.

Computed properties:
- space-group type = F-43m
- density (g/cm³) = 8.0
- formation energy from the elements (meV/atom) = -133
- DOS(E_F) (states/eV per cell) = 5.65
- volume (A^3/atom) = 26.0

Lattice parameters (Å, degrees): 5.2770 5.2770 5.2770 60.00 60.00 60.00
With the nearest neighbours (Å) after each atom.
Element x y z (fractional)
Sc1 0.0000 0.0000 0.0000  4 Tm 3.23, 4 Lu 3.23
Lu1 0.7500 0.7500 0.7500  4 Sc 3.23, 4 In 3.23
Tm1 0.2500 0.2500 0.2500  4 In 3.23, 4 Sc 3.23
In1 0.5000 0.5000 0.5000  4 Tm 3.23, 4 Lu 3.23

***

The following is a DFT calculation (PBE-GGA) of a geometry-optimized Y3Er9Tm2 structure.

Computed properties:
- space-group type = P-1
- density (g/cm³) = 7.9
- formation energy from the elements (meV/atom) = 121
- DOS(E_F) (states/eV per cell) = 22.58
- volume (A^3/atom) = 31.6

Lattice parameters (Å, degrees): 6.1898 13.5080 10.3994 40.03 55.49 54.53
With the nearest neighbours (Å) after each atom.
Element x y z (fractional)
Y1 0.0000 0.0000 0.0000  6 Er 3.38-3.68, 2 Tm 3.40
Y2 0.6202 0.2723 0.3521  11 Er 3.35-3.75, 1 Tm 3.45
Y3 0.3798 0.7277 0.6479  11 Er 3.35-3.75, 1 Tm 3.45
Er1 0.0000 0.5000 0.5000  4 Tm 3.47-3.55, 4 Er 3.50-3.53, 2 Y 3.66
Er2 0.7370 0.9146 0.8438  3 Er 3.16-3.44, 1 Tm 3.32, 1 Y 3.51
Er3 0.2630 0.0854 0.1562  3 Er 3.16-3.44, 1 Tm 3.32, 1 Y 3.51
Er4 0.4031 0.6973 0.9912  3 Y 3.35-3.55, 7 Er 3.43-3.72, 1 Tm 3.62
Er5 0.5969 0.3027 0.0088  3 Y 3.35-3.55, 7 Er 3.43-3.72, 1 Tm 3.62
Er6 0.8107 0.8991 0.4889  4 Er 3.16-3.51, 2 Y 3.39-3.43, 1 Tm 3.46
Er7 0.1893 0.1009 0.5111  4 Er 3.16-3.51, 2 Y 3.39-3.43, 1 Tm 3.46
Er8 0.0121 0.4956 0.8364  7 Er 3.37-3.51, 2 Tm 3.44-3.49, 3 Y 3.56-3.75
Er9 0.9879 0.5044 0.1636  7 Er 3.37-3.51, 2 Tm 3.44-3.49, 3 Y 3.56-3.75
Tm1 0.5871 0.3020 0.6643  1 Tm 3.31, 8 Er 3.32-3.62, 2 Y 3.40-3.45
Tm2 0.4129 0.6980 0.3357  1 Tm 3.31, 8 Er 3.32-3.62, 2 Y 3.40-3.45

***

The following is a DFT calculation (PBE-GGA) of a geometry-optimized Ba3Au structure.

Computed properties:
- space-group type = Pnma
- density (g/cm³) = 5.2
- formation energy from the elements (meV/atom) = -389
- DOS(E_F) (states/eV per cell) = 20.81
- volume (A^3/atom) = 48.3

Lattice parameters (Å, degrees): 7.6692 8.6060 11.7064 90.00 90.00 90.00
With the nearest neighbours (Å) after each atom.
Element x y z (fractional)
Au1 0.5616 0.8801 0.7500  6 Ba 3.35-3.40
Au2 0.0616 0.6199 0.2500  6 Ba 3.35-3.40
Au3 0.9384 0.3801 0.7500  6 Ba 3.35-3.40
Au4 0.4384 0.1199 0.2500  6 Ba 3.35-3.40
Ba1 0.1587 0.0436 0.7500  2 Au 3.35-3.40
Ba2 0.6587 0.4564 0.2500  2 Au 3.35-3.40
Ba3 0.3413 0.5436 0.7500  2 Au 3.35-3.40
Ba4 0.8413 0.9564 0.2500  2 Au 3.35-3.40
Ba5 0.6735 0.1745 0.9276  2 Au 3.39-3.40
Ba6 0.1735 0.3255 0.0724  2 Au 3.39-3.40
Ba7 0.8265 0.6745 0.5724  2 Au 3.39-3.40
Ba8 0.3265 0.8255 0.4276  2 Au 3.39-3.40
Ba9 0.3265 0.8255 0.0724  2 Au 3.39-3.40
Ba10 0.8265 0.6745 0.9276  2 Au 3.39-3.40
Ba11 0.1735 0.3255 0.4276  2 Au 3.39-3.40
Ba12 0.6735 0.1745 0.5724  2 Au 3.39-3.40

***

The following is a DFT calculation (PBE-GGA) of a geometry-optimized TlIn2Hg2I6 structure.

Computed properties:
- formation energy from raw total energies (eV/atom) = -0.334
- space-group type = C2/m
- density (g/cm³) = 5.0
- DOS(E_F) (states/eV per cell) = 5.46
- volume (A^3/atom) = 47.8

Lattice parameters (Å, degrees): 8.6590 8.4638 8.5305 99.94 90.00 120.77
With the nearest neighbours (Å) after each atom.
Element x y z (fractional)
Tl1 0.5000 0.0000 0.5000  2 Hg 3.32, 4 I 3.55
In1 0.0166 0.0333 0.8352  3 I 2.75-2.77, 1 In 2.95
In2 0.9834 0.9667 0.1648  3 I 2.75-2.77, 1 In 2.95
Hg1 0.6641 0.3282 0.2799  1 Tl 3.32, 1 I 3.56
Hg2 0.3359 0.6718 0.7201  1 Tl 3.32, 1 I 3.56
I1 0.8441 0.6883 0.6309  1 In 2.75
I2 0.1423 0.7571 0.1861  1 In 2.77
I3 0.3852 0.2429 0.8139  1 In 2.77
I4 0.8577 0.2429 0.8139  1 In 2.77
I5 0.6148 0.7571 0.1861  1 In 2.77
I6 0.1559 0.3117 0.3691  1 In 2.75

***

The following is a DFT calculation (PBE-GGA) of a geometry-optimized Sr2NiIr structure.

Computed properties:
- space-group type = Cmmm
- density (g/cm³) = 7.4
- formation energy from the elements (meV/atom) = 191
- DOS(E_F) (states/eV per cell) = 2.54
- volume (A^3/atom) = 23.8

Lattice parameters (Å, degrees): 8.0564 5.0916 3.6657 90.00 62.94 128.86
With the nearest neighbours (Å) after each atom.
Element x y z (fractional)
Ir1 0.0000 0.5000 0.5000  8 Sr 3.14
Ni1 0.5000 0.5000 0.0000  8 Sr 3.14
Sr1 0.0000 0.0000 0.0000  4 Ir 3.14, 4 Ni 3.14
Sr2 0.5000 0.0000 0.5000  4 Ni 3.14, 4 Ir 3.14

***

The following is a DFT calculation (PBE-GGA) of a geometry-optimized TbSm2Er7 structure.

Computed properties:
- space-group type = P-1
- density (g/cm³) = 8.7
- formation energy from the elements (meV/atom) = 20
- DOS(E_F) (states/eV per cell) = 13.81
- volume (A^3/atom) = 31.2

Lattice parameters (Å, degrees): 6.1121 7.9156 11.1914 135.12 123.22 58.91
With the nearest neighbours (Å) after each atom.
Element x y z (fractional)
Tb1 0.0000 0.0000 0.0000  10 Er 3.52-3.54, 2 Sm 3.53
Sm1 0.5000 0.9001 0.6008  10 Er 3.53-3.55, 1 Tb 3.53, 1 Sm 3.56
Sm2 0.5000 0.0999 0.3992  10 Er 3.53-3.55, 1 Tb 3.53, 1 Sm 3.56
Er1 0.9999 0.5991 0.3991  1 Tb 3.52, 7 Er 3.53-3.55, 4 Sm 3.53-3.54
Er2 0.0001 0.4009 0.6009  1 Tb 3.52, 7 Er 3.53-3.55, 4 Sm 3.53-3.54
Er3 0.5001 0.7011 0.8015  8 Er 3.51-3.55, 2 Tb 3.52-3.53, 2 Sm 3.54
Er4 0.4999 0.2989 0.1985  8 Er 3.51-3.55, 2 Tb 3.52-3.53, 2 Sm 3.54
Er5 0.9996 0.7995 0.1992  8 Er 3.52-3.54, 3 Sm 3.53-3.55, 1 Tb 3.54
Er6 0.0004 0.2005 0.8008  8 Er 3.52-3.54, 3 Sm 3.53-3.55, 1 Tb 3.54
Er7 0.5000 0.5000 0.0000  8 Er 3.53, 2 Sm 3.53, 2 Tb 3.54